Compound: La2Pr8Ho
Source: Alexandria
Functional: PBE-GGA
Structure: relaxed

## Properties
Energy relative to the lowest polymorph listed for this composition (meV/atom): 25
Formation energy from the elements (eV per formula unit): 1.522

abc: 9.183 9.183 6.914
angles: 100.61 100.61 44.50
Atoms (fractional coordinates):
La 0.194 0.194 0.310
La 0.806 0.806 0.690
Pr 0.178 0.651 0.096
Pr 0.243 0.243 0.817
Pr 0.349 0.822 0.904
Pr 0.408 0.408 0.583
Pr 0.592 0.592 0.417
Pr 0.651 0.178 0.096
Pr 0.757 0.757 0.183
Pr 0.822 0.349 0.904
Ho 0.000 0.000 0.500